(1)
## AcErThCd (PBE)

Data for a geometry-optimized AcErThCd structure.

The structure belongs to space group F-43m (No. 216); the cell edges are 7.9600, 7.9600 and 7.9600 Å and the angles 90.00°, 90.00° and 90.00°. The asymmetric unit holds Ac at (0.0000, 0.0000, 0.0000), Er at (0.2500, 0.2500, 0.2500), Th at (0.2500, 0.2500, 0.7500) and Cd at (0.0000, 0.0000, 0.5000).

As for the formation energy: 0.163 eV/atom. The density of states at the Fermi level is 1.47 states/eV per atom. As for the theoretical density: 9.7 g cm⁻³. Its magnetic moment is 0.00 μB/f.u.

---

(2)
## AcErTlCd (PBE)

Data for a geometry-optimized AcErTlCd structure.

The structure belongs to space group F-43m (No. 216); the cell edges are 7.8892, 7.8892 and 7.8892 Å and the angles 90.00°, 90.00° and 90.00°. The asymmetric unit holds Ac at (0.0000, 0.0000, 0.0000), Er at (0.0000, 0.0000, 0.5000), Tl at (0.2500, 0.2500, 0.7500) and Cd at (0.2500, 0.2500, 0.2500).

As for the formation energy: -0.287 eV/atom. The density of states at the Fermi level is 1.09 states/eV per atom. The value obtained for the energy relative to the lowest polymorph listed for this composition is 1.9 kJ/mol of atoms. As for the theoretical density: 9.6 g cm⁻³. Its magnetic moment is 0.00 μB/f.u.

---

(3)
## AcErTlCd (PBE)

Data for a geometry-optimized AcErTlCd structure.

The structure belongs to space group P4mm (No. 99); the cell edges are 3.8981, 3.8981 and 7.9385 Å and the angles 90.00°, 90.00° and 90.00°. The asymmetric unit holds Ac at (0.0000, 0.0000, 0.0000), Er at (0.0000, 0.0000, 0.4882), Tl at (0.5000, 0.5000, 0.7118) and Cd at (0.5000, 0.5000, 0.2815).

As for the formation energy: -0.306 eV/atom. The density of states at the Fermi level is 1.19 states/eV per atom. The value obtained for the energy relative to the lowest polymorph listed for this composition is 0.0 kJ/mol of atoms. As for the theoretical density: 9.8 g cm⁻³. Its magnetic moment is 0.02 μB/f.u.

---

(4)
## AcYErCd (PBE)

Data for a geometry-optimized AcYErCd structure.

The structure belongs to space group F-43m (No. 216); the cell edges are 7.9401, 7.9401 and 7.9401 Å and the angles 90.00°, 90.00° and 90.00°. The asymmetric unit holds Ac at (0.0000, 0.0000, 0.0000), Y at (0.2500, 0.2500, 0.7500), Er at (0.2500, 0.2500, 0.2500) and Cd at (0.0000, 0.0000, 0.5000).

As for the formation energy: 0.092 eV/atom. The density of states at the Fermi level is 1.76 states/eV per atom. As for the theoretical density: 7.9 g cm⁻³. Its magnetic moment is 0.24 μB/f.u.

---

(5)
## Ac2EuCd (PBE)

Data for a geometry-optimized Ac2EuCd structure.

The structure belongs to space group R-3m (No. 166, hexagonal axes); the cell edges are 3.8411, 3.8411 and 39.9607 Å and the angles 90.00°, 90.00° and 120.00°. The asymmetric unit holds Ac at (0.0000, 0.0000, 0.0866), Eu at (0.0000, 0.0000, 0.5000) and Cd at (0.0000, 0.0000, 0.0000).

As for the formation energy: 0.215 eV/atom. The density of states at the Fermi level is 1.50 states/eV per atom. The value obtained for the energy relative to the lowest polymorph listed for this composition is 33.2 kJ/mol of atoms. As for the theoretical density: 7.0 g cm⁻³. Its magnetic moment is 7.81 μB/f.u.

---

(6)
## AcEuCd4 (PBE)

Data for a geometry-optimized AcEuCd4 structure.

The structure belongs to space group F-43m (No. 216); the cell edges are 8.7275, 8.7275 and 8.7275 Å and the angles 90.00°, 90.00° and 90.00°. The asymmetric unit holds Ac at (0.0000, 0.0000, 0.0000), Eu at (0.2500, 0.2500, 0.2500) and Cd at (0.1250, 0.1250, 0.6250).

As for the formation energy: -0.307 eV/atom. The density of states at the Fermi level is 1.62 states/eV per atom. As for the theoretical density: 8.3 g cm⁻³. Its magnetic moment is 7.20 μB/f.u.

---

(7)
## AcEuCd (PBE)

Data for a geometry-optimized AcEuCd structure.

The structure belongs to space group I4mm (No. 107); the cell edges are 4.0223, 4.0223 and 13.5144 Å and the angles 90.00°, 90.00° and 90.00°. The asymmetric unit holds Ac at (0.0000, 0.0000, 0.0000), Eu at (0.0000, 0.0000, 0.2879) and Cd at (0.0000, 0.0000, 0.6517).

As for the formation energy: -0.195 eV/atom. The density of states at the Fermi level is 0.91 states/eV per atom. The value obtained for the energy relative to the lowest polymorph listed for this composition is 0.0 kJ/mol of atoms. As for the theoretical density: 7.5 g cm⁻³. Its magnetic moment is 7.40 μB/f.u.

---

(8)
## Ac2EuCd (PBE)

Data for a geometry-optimized Ac2EuCd structure.

The structure belongs to space group P4/mmm (No. 123); the cell edges are 4.0697, 4.0697 and 9.3813 Å and the angles 90.00°, 90.00° and 90.00°. The asymmetric unit holds Ac at (0.0000, 0.0000, 0.2142), Eu at (0.5000, 0.5000, 0.5000) and Cd at (0.5000, 0.5000, 0.0000).

As for the formation energy: -0.130 eV/atom. The density of states at the Fermi level is 0.95 states/eV per atom. The value obtained for the energy relative to the lowest polymorph listed for this composition is 0.0 kJ/mol of atoms. As for the theoretical density: 7.7 g cm⁻³. Its magnetic moment is 7.83 μB/f.u.

---

(9)
## Ac2EuCd (PBE)

Data for a geometry-optimized Ac2EuCd structure.

The structure belongs to space group Fm-3m (No. 225); the cell edges are 8.4131, 8.4131 and 8.4131 Å and the angles 90.00°, 90.00° and 90.00°. The asymmetric unit holds Ac at (0.2500, 0.2500, 0.2500), Eu at (0.0000, 0.0000, 0.0000) and Cd at (0.0000, 0.0000, 0.5000).

As for the formation energy: -0.049 eV/atom. The density of states at the Fermi level is 1.00 states/eV per atom. The value obtained for the energy relative to the lowest polymorph listed for this composition is 7.8 kJ/mol of atoms. As for the theoretical density: 8.0 g cm⁻³. Its magnetic moment is 7.23 μB/f.u.

---

(10)
## AcEuCd (PBE)

Data for a geometry-optimized AcEuCd structure.

The structure belongs to space group P3m1 (No. 156); the cell edges are 5.6232, 5.6232 and 3.9108 Å and the angles 90.00°, 90.00° and 120.00°. The asymmetric unit holds Ac at (0.0000, 0.0000, 0.0000), Eu at (0.3333, 0.6667, 0.4515) and Cd at (0.6667, 0.3333, 0.6163).

As for the formation energy: -0.088 eV/atom. The density of states at the Fermi level is 0.97 states/eV per atom. The value obtained for the energy relative to the lowest polymorph listed for this composition is 10.3 kJ/mol of atoms. As for the theoretical density: 7.6 g cm⁻³. Its magnetic moment is 7.43 μB/f.u.

---

(11)
## Ac2EuCd (PBE)

Data for a geometry-optimized Ac2EuCd structure.

The structure belongs to space group P4/mmm (No. 123); the cell edges are 5.9091, 5.9091 and 4.2706 Å and the angles 90.00°, 90.00° and 90.00°. The asymmetric unit holds Ac at (0.0000, 0.5000, 0.0000), Eu at (0.0000, 0.0000, 0.5000) and Cd at (0.5000, 0.5000, 0.5000).

As for the formation energy: -0.084 eV/atom. The density of states at the Fermi level is 0.95 states/eV per atom. The value obtained for the energy relative to the lowest polymorph listed for this composition is 4.4 kJ/mol of atoms. As for the theoretical density: 8.0 g cm⁻³. Its magnetic moment is 7.38 μB/f.u.

---

(12)
## AcEuCd (PBE)

Data for a geometry-optimized AcEuCd structure.

The structure belongs to space group F-43m (No. 216); the cell edges are 7.8785, 7.8785 and 7.8785 Å and the angles 90.00°, 90.00° and 90.00°. The asymmetric unit holds Ac at (0.0000, 0.0000, 0.0000), Eu at (0.0000, 0.0000, 0.5000) and Cd at (0.2500, 0.2500, 0.7500).

As for the formation energy: -0.021 eV/atom. The density of states at the Fermi level is 2.69 states/eV per atom. The value obtained for the energy relative to the lowest polymorph listed for this composition is 16.8 kJ/mol of atoms. As for the theoretical density: 6.7 g cm⁻³. Its magnetic moment is 7.55 μB/f.u.

---

- Which value of theoretical density does entry 10 give?
  7.6 g cm⁻³

---

What did the seventh record say?
## AcEuCd (PBE)

Data for a geometry-optimized AcEuCd structure.

The structure belongs to space group I4mm (No. 107); the cell edges are 4.0223, 4.0223 and 13.5144 Å and the angles 90.00°, 90.00° and 90.00°. The asymmetric unit holds Ac at (0.0000, 0.0000, 0.0000), Eu at (0.0000, 0.0000, 0.2879) and Cd at (0.0000, 0.0000, 0.6517).

As for the formation energy: -0.195 eV/atom. The density of states at the Fermi level is 0.91 states/eV per atom. The value obtained for the energy relative to the lowest polymorph listed for this composition is 0.0 kJ/mol of atoms. As for the theoretical density: 7.5 g cm⁻³. Its magnetic moment is 7.40 μB/f.u.

---

- What is the magnetic moment in the third record?
  0.02 μB/f.u.

---

- Among the records above, which one has the highest formation energy?
  number 5